[1]
A plane-wave DFT calculation with PBE-GGA was carried out for crystalline LaZrPt2 at its relaxed geometry.

Summary:
E_form in eV/atom: -0.61
Uncorrected energy in eV per atom: -6.999
Theoretical density in g/cm³: 10.25

a = 7.4350 Å, b = 7.4350 Å, c = 7.2740 Å
α = 90.00°, β = 90.00°, γ = 90.00°
Space group I-42d (No. 122)
Symmetry-distinct sites (fractional):
La1 0.0000 0.0000 0.0000 x4
Zr1 0.0000 0.0000 0.5000 x4
Pt1 0.2146 0.2500 0.6250 x8

---

[2]
A plane-wave DFT calculation with PBE-GGA was carried out for crystalline Tb6Er5Sc at its relaxed geometry.

Summary:
E_form in eV/atom: 0.03
Uncorrected energy in eV per atom: -4.717
Theoretical density in g/cm³: 8.28

a = 11.0752 Å, b = 14.9503 Å, c = 4.9709 Å
α = 90.00°, β = 116.60°, γ = 90.00°
Space group C2/m (No. 12)
Symmetry-distinct sites (fractional):
Tb1 0.2466 0.0000 0.2466 x4
Tb2 0.2483 0.1659 0.7483 x8
Er1 0.0000 0.1651 0.0000 x4
Er2 0.0000 0.3338 0.5000 x4
Er3 0.0000 0.5000 0.0000 x2
Sc1 0.0000 0.0000 0.5000 x2

---

[3]
A plane-wave DFT calculation with PBE-GGA was carried out for crystalline NbTl2Br5 at its relaxed geometry.

Summary:
Uncorrected energy in eV per atom: -3.630
Theoretical density in g/cm³: 4.61

a = 12.6681 Å, b = 7.9380 Å, c = 7.9556 Å
α = 90.00°, β = 125.79°, γ = 90.00°
Space group Cm (No. 8)
Symmetry-distinct sites (fractional):
Nb1 0.0000 0.0000 0.0000 x2
Tl1 0.2772 0.0000 0.7573 x2
Tl2 0.2804 0.5000 0.2947 x2
Br1 0.2371 0.0000 0.2796 x2
Br2 0.4270 0.2700 0.1496 x4
Br3 0.4716 0.2725 0.7370 x4

---

[4]
A plane-wave DFT calculation with PBE-GGA was carried out for crystalline CuAgCl2F at its relaxed geometry.

Summary:
Uncorrected energy in eV per atom: -3.181
Theoretical density in g/cm³: 4.83
Energy above the most stable polymorph in this dataset in meV per atom: 18

a = 4.8363 Å, b = 4.8363 Å, c = 3.8391 Å
α = 90.00°, β = 90.00°, γ = 90.00°
Space group P4/mmm (No. 123)
Symmetry-distinct sites (fractional):
Cu1 0.0000 0.0000 0.0000 x1
Ag1 0.5000 0.5000 0.5000 x1
Cl1 0.0000 0.5000 0.0000 x2
F1 0.0000 0.0000 0.5000 x1

---

[5]
A plane-wave DFT calculation with PBE-GGA was carried out for crystalline PuTlCd2O6 at its relaxed geometry.

Summary:
Uncorrected energy in eV per atom: -6.346
Theoretical density in g/cm³: 7.97

a = 5.8585 Å, b = 5.8585 Å, c = 16.1740 Å
α = 90.00°, β = 90.00°, γ = 120.00°
Space group R3 (No. 146, hexagonal axes)
Symmetry-distinct sites (fractional):
Pu1 0.0000 0.0000 0.0000 x3
Tl1 0.0000 0.0000 0.5221 x3
Cd1 0.0000 0.0000 0.3180 x3
Cd2 0.0000 0.0000 0.7964 x3
O1 0.0310 0.7442 0.9216 x9
O2 0.0430 0.3658 0.7335 x9

---

[6]
A plane-wave DFT calculation with PBE-GGA was carried out for crystalline NbCoTc2Te at its relaxed geometry.

Summary:
Uncorrected energy in eV per atom: -7.240
Theoretical density in g/cm³: 8.49

a = 4.5027 Å, b = 4.5027 Å, c = 4.5859 Å
α = 90.00°, β = 90.00°, γ = 90.00°
Space group P4/mmm (No. 123)
Symmetry-distinct sites (fractional):
Nb1 0.0000 0.0000 0.0000 x1
Co1 0.0000 0.0000 0.5000 x1
Tc1 0.0000 0.5000 0.5000 x2
Te1 0.5000 0.5000 0.0000 x1